# 1
Entry from the Open Quantum Materials Database: YScSi4Ni2 after structural relaxation (PBE-GGA).

POSCAR file:
```
YScSi4Ni2
1.0
3.908 0.000 0.000
0.000 1.948 8.211
0.000 -1.948 8.211
Ni Sc Si Y
2 1 4 1
Direct
0.000 0.176 0.176
0.500 0.825 0.825
0.000 0.395 0.395
0.000 0.038 0.038
0.500 0.251 0.251
0.000 0.752 0.752
0.500 0.958 0.958
0.500 0.604 0.604
```

Computed properties:
Total magnetic moment: 0.00 μB per atom
E: -6.4857 eV/atom
Crystal system: orthorhombic

---

# 2
Entry from the Open Quantum Materials Database: ScZnSiNi after structural relaxation (PBE-GGA).

POSCAR file:
```
ScZnSiNi
1.0
3.393 -0.227 2.642
0.775 3.188 2.789
-0.593 -0.637 4.217
Ni Sc Si Zn
1 1 1 1
Direct
0.250 0.250 0.250
0.500 0.500 0.500
0.000 0.000 0.000
0.750 0.750 0.750
```

Computed properties:
Energy above the most stable polymorph in this dataset: 0.00 eV per formula unit
Total magnetic moment: 0.00 μB per atom
E: -5.0228 eV/atom
Crystal system: cubic

---

# 3
Entry from the Open Quantum Materials Database: ScZnSiNi after structural relaxation (PBE-GGA).

POSCAR file:
```
ScZnSiNi
1.0
0.000 3.080 3.080
3.080 0.000 3.080
3.080 3.080 0.000
Ni Sc Si Zn
1 1 1 1
Direct
0.750 0.750 0.750
0.000 0.000 0.000
0.250 0.250 0.250
0.500 0.500 0.500
```

Computed properties:
Energy above the most stable polymorph in this dataset: 0.24 eV per formula unit
Total magnetic moment: 0.00 μB per atom
E: -4.9627 eV/atom
Crystal system: cubic

---

# 4
Entry from the Open Quantum Materials Database: ScZnSiNi after structural relaxation (PBE-GGA).

POSCAR file:
```
ScZnSiNi
1.0
-2.183 1.123 3.577
-3.609 2.387 -0.321
-3.865 -1.787 0.834
Ni Sc Si Zn
1 1 1 1
Direct
0.750 0.750 0.750
0.250 0.250 0.250
0.000 0.000 0.000
0.500 0.500 0.500
```

Computed properties:
Energy above the most stable polymorph in this dataset: 0.05 eV per formula unit
Total magnetic moment: 0.00 μB per atom
E: -5.0091 eV/atom
Crystal system: cubic

---

# 5
Entry from the Open Quantum Materials Database: ZrSc2Si4Ni4 after structural relaxation (PBE-GGA).

POSCAR file:
```
ZrSc2Si4Ni4
1.0
-0.184 -6.611 -3.236
1.925 -5.927 3.921
-4.502 5.725 -1.080
Ni Sc Si Zr
4 2 4 1
Direct
0.020 0.823 0.197
0.374 0.177 0.197
0.980 0.177 0.803
0.626 0.823 0.803
0.374 0.374 0.000
0.626 0.626 0.000
0.307 0.000 0.307
0.782 0.282 0.500
0.218 0.718 0.500
0.693 0.000 0.693
0.000 0.500 0.500
```

Computed properties:
Total magnetic moment: 0.00 μB per atom
E: -6.7933 eV/atom
Crystal system: orthorhombic

---

# 6
Entry from the Open Quantum Materials Database: ZrScSiNi after structural relaxation (PBE-GGA).

POSCAR file:
```
ZrScSiNi
1.0
0.000 3.214 3.214
3.214 0.000 3.214
3.214 3.214 0.000
Ni Sc Si Zr
1 1 1 1
Direct
0.750 0.750 0.750
0.250 0.250 0.250
0.000 0.000 0.000
0.500 0.500 0.500
```

Computed properties:
Total magnetic moment: 0.67 μB per atom
E: -6.5011 eV/atom
Crystal system: cubic

---

# 7
Entry from the Open Quantum Materials Database: ZrScSi2Ni after structural relaxation (PBE-GGA).

POSCAR file:
```
ZrScSi2Ni
1.0
-1.333 3.995 3.168
-4.309 2.924 0.809
-0.060 -8.573 3.966
Ni Sc Si Zr
2 2 4 2
Direct
0.722 0.722 0.358
0.278 0.278 0.642
0.000 0.000 0.326
0.000 0.000 0.674
0.483 0.483 0.121
0.356 0.356 0.434
0.644 0.644 0.566
0.517 0.517 0.879
0.186 0.186 0.100
0.814 0.814 0.900
```

Computed properties:
Total magnetic moment: 0.00 μB per atom
E: -7.1709 eV/atom
Crystal system: monoclinic

---

# 8
Entry from the Open Quantum Materials Database: SmScNi after structural relaxation (PBE-GGA).

POSCAR file:
```
SmScNi
1.0
-3.733 -0.115 2.730
-3.950 1.962 -1.398
-3.620 -2.646 -1.141
Ni Sc Sm
1 1 1
Direct
0.000 0.000 0.000
0.250 0.250 0.250
0.750 0.750 0.750
```

Computed properties:
Energy above the most stable polymorph in this dataset: 0.00 eV per formula unit
Total magnetic moment: 0.00 μB per atom
Energy of formation from the pure elements: -0.115 eV per atom
E: -5.6505 eV/atom
Crystal system: cubic

---

Q: Which of these has the highest total magnetic moment?
A: ZrScSiNi

---

Q: Number 6 is which compound?
A: ZrScSiNi